[1]
A geometry-optimized La6Tb2CeDy structure. Source: Alexandria via LeMat-Bulk, functional PBE.

As for the symmetry: C2/m. The formation energy is 0.224 eV/atom.

Lattice parameters (Å, degrees): 7.024 7.024 9.007 107.61 107.61 58.75
Fractional positions:
La 0.095 0.614 0.694
La 0.165 0.165 0.917
La 0.386 0.905 0.306
La 0.614 0.095 0.694
La 0.835 0.835 0.083
La 0.905 0.386 0.306
Tb 0.398 0.398 0.320
Tb 0.602 0.602 0.680
Ce 0.000 0.000 0.500
Dy 0.500 0.500 0.000



[2]
A geometry-optimized La3CeDy2Te6 structure. Source: Alexandria via LeMat-Bulk, functional PBE.

Its formation energy from raw total energies is -33.56 kcal/mol of atoms. As for the symmetry: C2/m.

Lattice parameters (Å, degrees): 7.765 7.765 7.820 99.55 99.55 120.20
Fractional positions:
La 0.000 0.000 0.000
La 0.337 0.663 0.000
La 0.663 0.337 0.000
Ce 0.500 0.500 0.500
Dy 0.167 0.833 0.500
Dy 0.833 0.167 0.500
Te 0.081 0.421 0.262
Te 0.237 0.237 0.734
Te 0.421 0.081 0.262
Te 0.579 0.919 0.738
Te 0.763 0.763 0.266
Te 0.919 0.579 0.738



[3]
A geometry-optimized La3CeDy3Te8 structure. Source: Alexandria via LeMat-Bulk, functional PBE.

Its formation energy from raw total energies is -33.68 kcal/mol of atoms. As for the symmetry: C2/m.

Lattice parameters (Å, degrees): 8.878 8.878 8.940 119.68 119.68 60.07
Fractional positions:
La 0.000 0.000 0.000
La 0.000 0.500 0.000
La 0.500 0.000 0.000
Ce 0.000 0.000 0.500
Dy 0.000 0.500 0.500
Dy 0.500 0.000 0.500
Dy 0.500 0.500 0.500
Te 0.255 0.255 0.266
Te 0.257 0.257 0.746
Te 0.257 0.732 0.746
Te 0.268 0.743 0.254
Te 0.732 0.257 0.746
Te 0.743 0.268 0.254
Te 0.743 0.743 0.254
Te 0.745 0.745 0.734



[4]
A geometry-optimized LaCe2Dy3Te6 structure. Source: Alexandria via LeMat-Bulk, functional PBE.

Its formation energy from raw total energies is -31.62 kcal/mol of atoms. As for the symmetry: C2/m.

Lattice parameters (Å, degrees): 9.961 9.961 8.967 104.02 104.02 25.50
Fractional positions:
La 0.000 0.000 0.000
Ce 0.332 0.332 0.664
Ce 0.668 0.668 0.336
Dy 0.000 0.000 0.500
Dy 0.335 0.335 0.167
Dy 0.665 0.665 0.833
Te 0.164 0.164 0.590
Te 0.171 0.171 0.078
Te 0.499 0.499 0.260
Te 0.501 0.501 0.740
Te 0.829 0.829 0.922
Te 0.836 0.836 0.410



[5]
A geometry-optimized La2Ce3DyTe6 structure. Source: Alexandria via LeMat-Bulk, functional PBE.

Its formation energy from raw total energies is -32.93 kcal/mol of atoms. As for the symmetry: C2/m.

Lattice parameters (Å, degrees): 7.766 7.766 7.847 99.51 99.51 120.07
Fractional positions:
La 0.165 0.835 0.000
La 0.835 0.165 0.000
Ce 0.000 0.000 0.500
Ce 0.328 0.672 0.500
Ce 0.672 0.328 0.500
Dy 0.500 0.500 0.000
Te 0.095 0.418 0.753
Te 0.262 0.262 0.254
Te 0.418 0.095 0.753
Te 0.582 0.905 0.247
Te 0.738 0.738 0.746
Te 0.905 0.582 0.247



[6]
A geometry-optimized LaCe2DyTe5 structure. Source: Alexandria via LeMat-Bulk, functional PBE.

Its formation energy from raw total energies is -20.89 kcal/mol of atoms. As for the symmetry: P4/mmm.

Lattice parameters (Å, degrees): 5.526 5.526 11.888 90.00 90.00 90.00
Fractional positions:
La 0.000 0.000 0.000
Ce 0.500 0.500 0.331
Ce 0.500 0.500 0.669
Dy 0.000 0.000 0.500
Te 0.000 0.000 0.250
Te 0.000 0.000 0.750
Te 0.000 0.500 0.500
Te 0.500 0.000 0.500
Te 0.500 0.500 0.000



[7]
A geometry-optimized La3Ce4DyTe8 structure. Source: Alexandria via LeMat-Bulk, functional PBE.

Its formation energy from raw total energies is -33.13 kcal/mol of atoms. As for the symmetry: C2/m.

Lattice parameters (Å, degrees): 9.016 9.016 9.057 120.09 120.09 59.79
Fractional positions:
La 0.000 0.000 0.000
La 0.000 0.500 0.500
La 0.500 0.000 0.500
Ce 0.000 0.000 0.500
Ce 0.000 0.500 0.000
Ce 0.500 0.000 0.000
Ce 0.500 0.500 0.500
Dy 0.500 0.500 0.000
Te 0.252 0.252 0.248
Te 0.254 0.254 0.758
Te 0.254 0.742 0.246
Te 0.258 0.746 0.754
Te 0.742 0.254 0.246
Te 0.746 0.258 0.754
Te 0.746 0.746 0.242
Te 0.748 0.748 0.752



[8]
A geometry-optimized LaCeDyTh structure. Source: Alexandria via LeMat-Bulk, functional PBE.

As for the energy above the most stable polymorph in this dataset: 0 meV per atom. As for the symmetry: P4mm. The formation energy is 0.032 eV/atom.

Lattice parameters (Å, degrees): 3.553 3.553 10.079 90.00 90.00 90.00
Fractional positions:
La 0.000 0.000 0.000
Ce 0.500 0.500 0.749
Dy 0.500 0.500 0.275
Th 0.000 0.000 0.517